Record 1
! RuPtIO2 | Alexandria via LeMat-Bulk | PBE-GGA | relaxed; values from VASP
&SYSTEM
  ibrav = 0, nat = 5, ntyp = 4
/
ATOMIC_SPECIES
I 126.90 I.upf
O 16.00 O.upf
Ru 101.07 Ru.upf
Pt 195.08 Pt.upf
CELL_PARAMETERS angstrom
3.797 0.000 0.000
0.000 3.797 0.000
0.000 0.000 8.063
ATOMIC_POSITIONS crystal
I 0.000 0.000 0.500
O 0.000 0.500 0.000
Ru 0.500 0.500 0.500
O 0.500 0.000 0.000
Pt 0.000 0.000 0.000
! * excess energy over the best structure of this formula in the dataset: 638.3 meV per atom
! * magnetic moment: 1.80 μB per formula unit
! * formation energy from raw total energies: 0.517 eV/atom

Record 2
! ScBeS3 | Alexandria via LeMat-Bulk | PBE-GGA | relaxed; values from VASP
&SYSTEM
  ibrav = 0, nat = 5, ntyp = 3
/
ATOMIC_SPECIES
Be 9.01 Be.upf
Sc 44.96 Sc.upf
S 32.06 S.upf
CELL_PARAMETERS angstrom
4.871 0.000 0.000
0.000 4.871 0.000
0.000 0.000 4.871
ATOMIC_POSITIONS crystal
Be 0.500 0.500 0.500
Sc 0.000 0.000 0.000
S 0.000 0.000 0.500
S 0.000 0.500 0.000
S 0.500 0.000 0.000
! * excess energy over the best structure of this formula in the dataset: 632.3 meV per atom
! * magnetic moment: 0.00 μB per formula unit
! * formation energy from raw total energies: 0.128 eV/atom

Record 3
! Ti2SnSe | Alexandria via LeMat-Bulk | PBE-GGA | relaxed; values from VASP
&SYSTEM
  ibrav = 0, nat = 4, ntyp = 3
/
ATOMIC_SPECIES
Sn 118.71 Sn.upf
Ti 47.87 Ti.upf
Se 78.96 Se.upf
CELL_PARAMETERS angstrom
-1.863 1.941 2.410
-2.037 -1.666 2.475
4.060 -0.089 5.917
ATOMIC_POSITIONS crystal
Sn 0.499 0.499 0.504
Ti 0.070 0.070 0.790
Ti 0.264 0.264 0.208
Se 0.667 0.667 0.998
! * excess energy over the best structure of this formula in the dataset: 0.0 meV per atom
! * magnetic moment: 0.00 μB per formula unit
! * formation energy from raw total energies: -0.572 eV/atom

Record 4
! NpMnGe | Alexandria via LeMat-Bulk | PBE-GGA | relaxed; values from VASP
&SYSTEM
  ibrav = 0, nat = 6, ntyp = 3
/
ATOMIC_SPECIES
Ge 72.64 Ge.upf
Np 237.00 Np.upf
Mn 54.94 Mn.upf
CELL_PARAMETERS angstrom
3.567 0.000 0.000
0.000 3.567 0.000
0.000 0.000 7.620
ATOMIC_POSITIONS crystal
Ge 0.000 0.500 0.308
Np 0.500 0.500 0.000
Mn 0.000 0.500 0.628
Ge 0.500 0.000 0.692
Mn 0.500 0.000 0.372
Np 0.000 0.000 0.000
! * formation energy: 0.011 eV per atom
! * magnetic moment: 2.24 μB per formula unit

Record 5
! CrNiCl2 | Alexandria via LeMat-Bulk | PBE-GGA | relaxed; values from VASP
&SYSTEM
  ibrav = 0, nat = 4, ntyp = 3
/
ATOMIC_SPECIES
Ni 58.69 Ni.upf
Cl 35.45 Cl.upf
Cr 52.00 Cr.upf
CELL_PARAMETERS angstrom
-3.590 -1.878 -6.163
-5.584 -4.141 -2.464
3.179 4.930 4.471
ATOMIC_POSITIONS crystal
Ni 0.287 0.787 0.500
Cl 0.769 0.269 0.500
Cl 0.006 0.006 0.000
Cr 0.438 0.438 0.000
! * excess energy over the best structure of this formula in the dataset: 229.6 meV per atom
! * magnetic moment: 4.58 μB per formula unit
! * formation energy from raw total energies: -0.060 eV/atom

Record 6
! ZrSnCl2 | Alexandria via LeMat-Bulk | PBE-GGA | relaxed; values from VASP
&SYSTEM
  ibrav = 0, nat = 8, ntyp = 3
/
ATOMIC_SPECIES
Cl 35.45 Cl.upf
Zr 91.22 Zr.upf
Sn 118.71 Sn.upf
CELL_PARAMETERS angstrom
4.429 0.000 0.000
0.000 4.429 0.000
2.214 2.214 9.358
ATOMIC_POSITIONS crystal
Cl 0.597 0.125 0.250
Zr 0.500 0.500 0.000
Zr 0.250 0.750 0.500
Cl 0.153 0.625 0.250
Sn 0.750 0.250 0.500
Sn 0.000 0.000 0.000
Cl 0.875 0.847 0.750
Cl 0.375 0.403 0.750
! * excess energy over the best structure of this formula in the dataset: 384.6 meV per atom
! * magnetic moment: 0.00 μB per formula unit
! * formation energy from raw total energies: -0.644 eV/atom

Record 7
! HgPW2 | Alexandria via LeMat-Bulk | PBE-GGA | relaxed; values from VASP
&SYSTEM
  ibrav = 0, nat = 4, ntyp = 3
/
ATOMIC_SPECIES
W 183.84 W.upf
Hg 200.59 Hg.upf
P 30.97 P.upf
CELL_PARAMETERS angstrom
-2.284 -1.038 3.709
0.819 -1.409 4.171
0.084 4.599 3.133
ATOMIC_POSITIONS crystal
W 0.230 0.230 0.823
W 0.770 0.770 0.177
Hg 0.000 0.000 0.500
P 0.500 0.500 0.000
! * formation energy: 0.574 eV per atom
! * excess energy over the best structure of this formula in the dataset: 267.7 meV per atom
! * magnetic moment: 0.00 μB per formula unit

Record 8
! Be2CrPt | Alexandria via LeMat-Bulk | PBE-GGA | relaxed; values from VASP
&SYSTEM
  ibrav = 0, nat = 8, ntyp = 3
/
ATOMIC_SPECIES
Cr 52.00 Cr.upf
Be 9.01 Be.upf
Pt 195.08 Pt.upf
CELL_PARAMETERS angstrom
3.545 0.000 0.000
0.000 3.545 0.000
1.772 1.772 8.047
ATOMIC_POSITIONS crystal
Cr 0.500 0.500 0.000
Cr 0.250 0.750 0.500
Be 0.623 0.125 0.250
Be 0.127 0.625 0.250
Be 0.375 0.377 0.750
Pt 0.000 0.000 0.000
Be 0.875 0.873 0.750
Pt 0.750 0.250 0.500
! * formation energy: 0.413 eV per atom
! * magnetic moment: 0.00 μB per formula unit

Record 9
! CsPm2As2O6 | Alexandria via LeMat-Bulk | PBE-GGA | relaxed; values from VASP
&SYSTEM
  ibrav = 0, nat = 11, ntyp = 4
/
ATOMIC_SPECIES
O 16.00 O.upf
Cs 132.91 Cs.upf
As 74.92 As.upf
Pm 145.00 Pm.upf
CELL_PARAMETERS angstrom
-3.528 2.241 -5.065
-6.977 -1.562 -0.087
3.074 6.973 0.945
ATOMIC_POSITIONS crystal
O 0.605 0.382 0.098
Cs 0.500 0.000 0.500
As 0.865 0.270 0.183
O 0.395 0.618 0.902
Pm 0.172 0.656 0.209
O 0.012 0.384 0.099
Pm 0.828 0.344 0.791
O 0.988 0.616 0.901
O 0.938 0.122 0.411
As 0.135 0.730 0.817
O 0.062 0.878 0.589
! * magnetic moment: 0.82 μB per formula unit
! * formation energy from raw total energies: -2.004 eV/atom

Record 10
! Li2Ni6Ru | Alexandria via LeMat-Bulk | PBE-GGA | relaxed; values from VASP
&SYSTEM
  ibrav = 0, nat = 18, ntyp = 3
/
ATOMIC_SPECIES
Ni 58.69 Ni.upf
Li 6.94 Li.upf
Ru 101.07 Ru.upf
CELL_PARAMETERS angstrom
-1.659 -3.271 -2.602
6.357 -2.475 -1.598
0.921 -4.903 4.920
ATOMIC_POSITIONS crystal
Ni 0.267 0.730 0.045
Ni 0.777 0.558 0.078
Ni 0.501 0.363 0.630
Ni 0.723 0.922 0.442
Li 0.667 0.661 0.747
Li 0.833 0.253 0.339
Ni 0.767 0.045 0.730
Ru 0.750 0.906 0.094
Ru 0.250 0.094 0.906
Li 0.167 0.747 0.661
Ni 0.223 0.442 0.922
Ni 0.001 0.630 0.363
Ni 0.499 0.637 0.370
Ni 0.733 0.270 0.955
Li 0.333 0.339 0.253
Ni 0.233 0.955 0.270
Ni 0.277 0.078 0.558
Ni 0.999 0.370 0.637
! * formation energy: 0.116 eV per atom
! * magnetic moment: 2.63 μB per formula unit

Record 11
! K4CrSi | Alexandria via LeMat-Bulk | PBE-GGA | relaxed; values from VASP
&SYSTEM
  ibrav = 0, nat = 6, ntyp = 3
/
ATOMIC_SPECIES
K 39.10 K.upf
Si 28.09 Si.upf
Cr 52.00 Cr.upf
CELL_PARAMETERS angstrom
0.000 4.857 4.857
4.857 0.000 4.857
4.857 4.857 0.000
ATOMIC_POSITIONS crystal
K 0.376 0.376 0.376
Si 0.750 0.750 0.750
K 0.376 0.376 0.872
K 0.376 0.872 0.376
Cr 0.000 0.000 0.000
K 0.872 0.376 0.376
! * magnetic moment: 5.42 μB per formula unit
! * formation energy from raw total energies: 0.936 eV/atom

Record 12
! CrTeP2Cl | Alexandria via LeMat-Bulk | PBE-GGA | relaxed; values from VASP
&SYSTEM
  ibrav = 0, nat = 5, ntyp = 4
/
ATOMIC_SPECIES
Cl 35.45 Cl.upf
Te 127.60 Te.upf
P 30.97 P.upf
Cr 52.00 Cr.upf
CELL_PARAMETERS angstrom
-3.400 -1.672 3.120
-0.689 -3.284 -2.510
3.446 -2.549 2.390
ATOMIC_POSITIONS crystal
Cl 0.000 0.000 0.000
Te 0.500 0.500 0.500
P 0.000 0.000 0.500
P 0.500 0.000 0.000
Cr 0.000 0.500 0.000
! * excess energy over the best structure of this formula in the dataset: 982.8 meV per atom
! * magnetic moment: 0.38 μB per formula unit
! * formation energy from raw total energies: 1.313 eV/atom

Record 13
! Tb2Nd5Mg5 | Alexandria via LeMat-Bulk | PBE-GGA | relaxed; values from VASP
&SYSTEM
  ibrav = 0, nat = 12, ntyp = 3
/
ATOMIC_SPECIES
Mg 24.30 Mg.upf
Nd 144.24 Nd.upf
Tb 158.93 Tb.upf
CELL_PARAMETERS angstrom
-1.705 -2.493 -2.174
6.784 -4.204 -3.684
2.296 -9.867 6.328
ATOMIC_POSITIONS crystal
Mg 0.237 0.809 0.716
Mg 0.173 0.154 0.500
Mg 0.763 0.191 0.284
Nd 0.670 0.689 0.972
Tb 0.117 0.527 0.240
Mg 0.000 0.000 0.000
Nd 0.563 0.120 0.754
Tb 0.883 0.473 0.760
Mg 0.827 0.846 0.500
Nd 0.437 0.880 0.246
Nd 0.330 0.311 0.028
Nd 0.500 0.500 0.500
! * formation energy: -0.041 eV per atom
! * magnetic moment: 0.00 μB per formula unit

Record 14
! Dy2TlPt | Alexandria via LeMat-Bulk | PBE-GGA | relaxed; values from VASP
&SYSTEM
  ibrav = 0, nat = 8, ntyp = 3
/
ATOMIC_SPECIES
Tl 204.38 Tl.upf
Dy 162.50 Dy.upf
Pt 195.08 Pt.upf
CELL_PARAMETERS angstrom
-2.435 -2.014 -1.675
2.337 -5.775 3.546
-4.991 1.402 5.572
ATOMIC_POSITIONS crystal
Tl 0.000 0.250 0.492
Dy 0.500 0.505 0.219
Pt 0.000 0.750 0.975
Tl 0.000 0.750 0.508
Dy 0.500 0.495 0.781
Dy 0.500 0.995 0.219
Dy 0.500 0.005 0.781
Pt 0.000 0.250 0.025
! * formation energy: -0.795 eV per atom
! * excess energy over the best structure of this formula in the dataset: 0.0 meV per atom
! * magnetic moment: 0.00 μB per formula unit

Record 15
! NpZnRu2 | Alexandria via LeMat-Bulk | PBE-GGA | relaxed; values from VASP
&SYSTEM
  ibrav = 0, nat = 4, ntyp = 3
/
ATOMIC_SPECIES
Np 237.00 Np.upf
Zn 65.41 Zn.upf
Ru 101.07 Ru.upf
CELL_PARAMETERS angstrom
3.539 0.000 0.000
0.000 4.267 0.000
0.000 0.000 4.267
ATOMIC_POSITIONS crystal
Np 0.500 0.500 0.500
Zn 0.500 0.000 0.000
Ru 0.000 0.000 0.500
Ru 0.000 0.500 0.000
! * formation energy: -0.166 eV per atom
! * magnetic moment: 1.64 μB per formula unit

Record 16
! Pr2TmIr3 | Alexandria via LeMat-Bulk | PBE-GGA | relaxed; values from VASP
&SYSTEM
  ibrav = 0, nat = 6, ntyp = 3
/
ATOMIC_SPECIES
Ir 192.22 Ir.upf
Pr 140.91 Pr.upf
Tm 168.93 Tm.upf
CELL_PARAMETERS angstrom
4.634 0.000 0.000
0.000 5.744 0.000
-2.317 -2.872 5.394
ATOMIC_POSITIONS crystal
Ir 0.637 0.637 0.274
Pr 0.672 0.172 0.344
Ir 0.000 0.000 0.000
Pr 0.328 0.828 0.656
Ir 0.363 0.363 0.726
Tm 0.000 0.500 0.000
! * formation energy: -0.353 eV per atom
! * magnetic moment: 0.00 μB per formula unit

Record 17
! BaBH3 | Alexandria via LeMat-Bulk | PBE-GGA | relaxed; values from VASP
&SYSTEM
  ibrav = 0, nat = 5, ntyp = 3
/
ATOMIC_SPECIES
H 1.01 H.upf
B 10.81 B.upf
Ba 137.33 Ba.upf
CELL_PARAMETERS angstrom
3.702 0.000 0.000
0.000 3.702 0.000
0.000 0.000 3.702
ATOMIC_POSITIONS crystal
H 0.000 0.500 0.000
H 0.000 0.000 0.500
B 0.000 0.000 0.000
H 0.500 0.000 0.000
Ba 0.500 0.500 0.500
! * excess energy over the best structure of this formula in the dataset: 0.0 meV per atom
! * magnetic moment: 0.00 μB per formula unit

Record 18
! YPbSe2 | Alexandria via LeMat-Bulk | PBE-GGA | relaxed; values from VASP
&SYSTEM
  ibrav = 0, nat = 4, ntyp = 3
/
ATOMIC_SPECIES
Pb 207.20 Pb.upf
Se 78.96 Se.upf
Y 88.91 Y.upf
CELL_PARAMETERS angstrom
8.632 -0.009 -0.006
7.703 3.896 -0.006
7.703 1.833 3.438
ATOMIC_POSITIONS crystal
Pb 0.750 0.750 0.750
Se 0.984 0.984 0.984
Se 0.516 0.516 0.516
Y 0.250 0.250 0.250
! * magnetic moment: 0.00 μB per formula unit
! * formation energy from raw total energies: -1.157 eV/atom

Record 19
! FeCo2Ag | Alexandria via LeMat-Bulk | PBE-GGA | relaxed; values from VASP
&SYSTEM
  ibrav = 0, nat = 8, ntyp = 3
/
ATOMIC_SPECIES
Fe 55.84 Fe.upf
Co 58.93 Co.upf
Ag 107.87 Ag.upf
CELL_PARAMETERS angstrom
6.681 0.000 0.000
0.000 6.681 0.000
3.341 3.341 2.545
ATOMIC_POSITIONS crystal
Fe 0.500 0.500 0.000
Co 0.156 0.625 0.250
Fe 0.250 0.750 0.500
Ag 0.000 0.000 0.000
Co 0.375 0.406 0.750
Co 0.594 0.125 0.250
Co 0.875 0.844 0.750
Ag 0.750 0.250 0.500
! * formation energy: 0.672 eV per atom
! * excess energy over the best structure of this formula in the dataset: 457.0 meV per atom
! * magnetic moment: 6.16 μB per formula unit

Record 20
! B2P2S | Alexandria via LeMat-Bulk | PBE-GGA | relaxed; values from VASP
&SYSTEM
  ibrav = 0, nat = 5, ntyp = 3
/
ATOMIC_SPECIES
B 10.81 B.upf
S 32.06 S.upf
P 30.97 P.upf
CELL_PARAMETERS angstrom
-0.052 -2.876 -1.363
2.024 3.104 -2.914
4.177 0.086 3.316
ATOMIC_POSITIONS crystal
B 0.933 0.655 0.704
B 0.088 0.028 0.647
S 0.899 0.019 0.288
P 0.657 0.540 0.275
P 0.387 0.455 0.814
! * excess energy over the best structure of this formula in the dataset: 371.2 meV per atom
! * magnetic moment: 0.00 μB per formula unit
! * formation energy from raw total energies: 0.219 eV/atom

Record 21
! SiPdNF2 | Alexandria via LeMat-Bulk | PBE-GGA | relaxed; values from VASP
&SYSTEM
  ibrav = 0, nat = 5, ntyp = 4
/
ATOMIC_SPECIES
N 14.01 N.upf
Si 28.09 Si.upf
F 19.00 F.upf
Pd 106.42 Pd.upf
CELL_PARAMETERS angstrom
-0.870 -0.870 -3.705
-3.632 -0.945 1.075
-1.004 3.258 -0.529
ATOMIC_POSITIONS crystal
N 0.000 0.000 0.500
Si 0.000 0.000 0.000
F 0.500 0.000 0.000
Pd 0.500 0.500 0.500
F 0.000 0.500 0.000
! * excess energy over the best structure of this formula in the dataset: 0.0 meV per atom
! * magnetic moment: 0.00 μB per formula unit
! * formation energy from raw total energies: -0.717 eV/atom

Record 22
! CsMgPtF6 | Alexandria via LeMat-Bulk | PBE-GGA | relaxed; values from VASP
&SYSTEM
  ibrav = 0, nat = 9, ntyp = 4
/
ATOMIC_SPECIES
F 19.00 F.upf
Pt 195.08 Pt.upf
Cs 132.91 Cs.upf
Mg 24.30 Mg.upf
CELL_PARAMETERS angstrom
5.603 0.001 0.033
2.803 4.731 0.017
0.042 -0.003 6.574
ATOMIC_POSITIONS crystal
F 0.637 0.998 0.341
F 0.640 0.395 0.691
Pt 0.338 0.325 0.500
F 0.006 0.625 0.658
Cs 0.006 0.988 0.000
F 0.965 0.395 0.310
Mg 0.674 0.652 0.500
F 0.369 0.625 0.342
F 0.364 0.999 0.659
! * magnetic moment: 1.00 μB per formula unit
! * formation energy from raw total energies: -2.335 eV/atom

Record 23
! ReRh2W | Alexandria via LeMat-Bulk | PBE-GGA | relaxed; values from VASP
&SYSTEM
  ibrav = 0, nat = 4, ntyp = 3
/
ATOMIC_SPECIES
W 183.84 W.upf
Re 186.21 Re.upf
Rh 102.91 Rh.upf
CELL_PARAMETERS angstrom
-1.843 -1.868 -0.736
1.968 -1.485 -1.160
1.146 -3.831 6.854
ATOMIC_POSITIONS crystal
W 0.500 0.500 0.000
Re 0.500 0.500 0.500
Rh 0.000 0.000 0.254
Rh 0.000 0.000 0.746
! * formation energy: -0.101 eV per atom
! * excess energy over the best structure of this formula in the dataset: 98.8 meV per atom
! * magnetic moment: 0.00 μB per formula unit

Record 24
! K2AgBi2 | Alexandria via LeMat-Bulk | PBE-GGA | relaxed; values from VASP
&SYSTEM
  ibrav = 0, nat = 10, ntyp = 3
/
ATOMIC_SPECIES
Bi 208.98 Bi.upf
K 39.10 K.upf
Ag 107.87 Ag.upf
CELL_PARAMETERS angstrom
10.644 0.000 0.000
0.000 10.644 0.000
0.000 0.000 3.268
ATOMIC_POSITIONS crystal
Bi 0.676 0.824 0.500
K 0.124 0.376 0.000
Ag 0.000 0.000 0.000
Bi 0.176 0.676 0.500
K 0.624 0.124 0.000
Bi 0.824 0.324 0.500
K 0.376 0.876 0.000
K 0.876 0.624 0.000
Ag 0.500 0.500 0.000
Bi 0.324 0.176 0.500
! * formation energy: 0.177 eV per atom
! * excess energy over the best structure of this formula in the dataset: 410.1 meV per atom
! * magnetic moment: 0.00 μB per formula unit

Record 25
! TbHfTl | Alexandria via LeMat-Bulk | PBE-GGA | relaxed; values from VASP
&SYSTEM
  ibrav = 0, nat = 3, ntyp = 3
/
ATOMIC_SPECIES
Tb 158.93 Tb.upf
Hf 178.49 Hf.upf
Tl 204.38 Tl.upf
CELL_PARAMETERS angstrom
3.461 0.000 0.000
0.000 3.461 0.000
-1.730 -1.730 6.464
ATOMIC_POSITIONS crystal
Tb 0.999 0.999 0.998
Hf 0.327 0.327 0.655
Tl 0.674 0.674 0.347
! * formation energy: -0.034 eV per atom
! * magnetic moment: 0.00 μB per formula unit

Record 26
! RbMgCo2Ag | Alexandria via LeMat-Bulk | PBE-GGA | relaxed; values from VASP
&SYSTEM
  ibrav = 0, nat = 5, ntyp = 4
/
ATOMIC_SPECIES
Mg 24.30 Mg.upf
Ag 107.87 Ag.upf
Rb 85.47 Rb.upf
Co 58.93 Co.upf
CELL_PARAMETERS angstrom
4.833 0.000 0.000
0.000 6.217 0.000
0.000 0.000 4.833
ATOMIC_POSITIONS crystal
Mg 0.000 0.000 0.000
Ag 0.500 0.500 0.500
Rb 0.000 0.500 0.000
Co 0.000 0.000 0.500
Co 0.500 0.000 0.000
! * formation energy: 1.429 eV per atom
! * magnetic moment: 3.35 μB per formula unit